Record 1
Tb5Sm4Dy: relaxed, PBE.

Unit cell a=5.979 b=8.088 c=8.088 alpha=82.15 beta=68.31 gamma=68.31
Fractional positions:
Tb (0.763, 0.378, 0.000)
Tb (0.688, 0.000, 0.000)
Tb (0.141, 0.000, 0.622)
Tb (0.141, 0.622, 0.000)
Tb (0.763, 0.000, 0.378)
Sm (0.126, 0.324, 0.324)
Sm (0.450, 0.676, 0.324)
Sm (0.773, 0.676, 0.676)
Sm (0.450, 0.324, 0.676)
Dy (0.215, 0.000, 0.000)

Offset from the most stable computed form ... 64 meV/atom
Crystal system ... tetragonal
Space-group type ... I4mm
Energy ... -4.416 eV/atom
Theoretical density ... 7.66 g/cm3

Record 2
Tb5Sm6Dy2: relaxed, PBE.

Unit cell a=3.610 b=11.700 c=20.490 alpha=90.00 beta=90.00 gamma=90.00
Fractional positions:
Tb (0.500, 0.802, 0.053)
Tb (0.500, 0.000, 0.500)
Tb (0.500, 0.910, 0.774)
Tb (0.500, 0.500, 0.000)
Tb (0.500, 0.198, 0.947)
Tb (0.500, 0.302, 0.447)
Tb (0.500, 0.698, 0.553)
Tb (0.500, 0.590, 0.274)
Tb (0.500, 0.090, 0.226)
Tb (0.500, 0.410, 0.726)
Sm (0.500, 0.174, 0.635)
Sm (0.500, 0.326, 0.135)
Sm (0.000, 0.440, 0.580)
Sm (0.500, 0.674, 0.865)
Sm (0.000, 0.082, 0.368)
Sm (0.500, 0.826, 0.365)
Sm (0.000, 0.582, 0.132)
Sm (0.000, 0.060, 0.080)
Sm (0.000, 0.940, 0.920)
Sm (0.000, 0.918, 0.632)
Sm (0.000, 0.418, 0.868)
Sm (0.000, 0.560, 0.420)
Dy (0.000, 0.168, 0.789)
Dy (0.000, 0.668, 0.711)
Dy (0.000, 0.332, 0.289)
Dy (0.000, 0.832, 0.211)

Crystal system ... orthorhombic
Space-group type ... Pbam
Energy ... -4.569 eV/atom
Theoretical density ... 7.76 g/cm3

Record 3
Tb15Sm4Dy: relaxed, PBE.

Unit cell a=5.055 b=5.055 c=25.256 alpha=90.00 beta=90.00 gamma=90.00
Fractional positions:
Tb (0.500, 0.000, 0.700)
Tb (0.500, 0.500, 0.400)
Tb (0.000, 0.500, 0.500)
Tb (0.500, 0.500, 0.801)
Tb (0.500, 0.500, 0.600)
Tb (0.500, 0.000, 0.099)
Tb (0.000, 0.500, 0.901)
Tb (0.500, 0.000, 0.300)
Tb (0.500, 0.500, 0.199)
Tb (0.000, 0.500, 0.300)
Tb (0.500, 0.000, 0.500)
Tb (0.000, 0.500, 0.700)
Tb (0.500, 0.000, 0.901)
Tb (0.500, 0.500, 0.000)
Tb (0.000, 0.500, 0.099)
Sm (0.000, 0.000, 0.600)
Sm (0.000, 0.000, 0.400)
Sm (0.000, 0.000, 0.800)
Sm (0.000, 0.000, 0.200)
Dy (0.000, 0.000, 0.000)

Crystal system ... tetragonal
Space-group type ... P4/mmm
Energy ... -4.630 eV/atom
Theoretical density ... 8.10 g/cm3

Record 4
Tb5Sm5Dy2: relaxed, PBE.

Unit cell a=5.066 b=8.014 c=10.764 alpha=72.69 beta=76.39 gamma=71.58
Fractional positions:
Tb (0.749, 0.250, 0.251)
Tb (0.000, 0.000, 0.000)
Tb (0.167, 0.166, 0.500)
Tb (0.833, 0.834, 0.500)
Tb (0.251, 0.750, 0.749)
Sm (0.500, 0.500, 0.500)
Sm (0.583, 0.083, 0.750)
Sm (0.417, 0.917, 0.250)
Sm (0.666, 0.667, 0.000)
Sm (0.334, 0.333, 0.000)
Dy (0.917, 0.417, 0.749)
Dy (0.083, 0.583, 0.251)

Crystal system ... monoclinic
Space-group type ... C2/m
Energy ... -4.647 eV/atom
Theoretical density ... 7.95 g/cm3

Record 5
Tb4Sm3Dy4: relaxed, PBE.

Unit cell a=5.693 b=6.660 c=10.589 alpha=90.00 beta=90.00 gamma=115.30
Fractional positions:
Sm (0.407, 0.814, 0.294)
Sm (0.255, 0.509, 0.000)
Sm (0.407, 0.814, 0.706)
Tb (0.753, 0.507, 0.212)
Tb (0.889, 0.778, 0.500)
Tb (0.753, 0.507, 0.788)
Tb (0.958, 0.916, 0.000)
Dy (0.553, 0.107, 0.000)
Dy (0.618, 0.235, 0.500)
Dy (0.102, 0.205, 0.295)
Dy (0.102, 0.205, 0.705)

Offset from the most stable computed form ... 0 meV/atom
Crystal system ... orthorhombic
Space-group type ... Amm2
Energy ... -4.490 eV/atom
Theoretical density ... 7.94 g/cm3

Record 6
Tb4Sm3Dy4: relaxed, PBE.

Unit cell a=3.540 b=11.256 c=10.935 alpha=120.98 beta=99.32 gamma=90.00
Fractional positions:
Dy (0.500, 0.789, 0.000)
Dy (0.500, 0.211, 0.000)
Dy (0.778, 0.278, 0.555)
Dy (0.222, 0.722, 0.445)
Sm (0.106, 0.106, 0.213)
Sm (0.000, 0.500, 0.000)
Sm (0.894, 0.894, 0.787)
Tb (0.671, 0.430, 0.341)
Tb (0.329, 0.089, 0.659)
Tb (0.671, 0.911, 0.341)
Tb (0.329, 0.570, 0.659)

Offset from the most stable computed form ... 20 meV/atom
Crystal system ... orthorhombic
Space-group type ... Immm
Energy ... -4.470 eV/atom
Theoretical density ... 7.86 g/cm3

Record 7
Tb3Sm2Dy6: relaxed, PBE.

Unit cell a=3.562 b=3.562 c=31.986 alpha=86.81 beta=86.81 gamma=60.00
Fractional positions:
Dy (0.910, 0.910, 0.271)
Dy (0.637, 0.637, 0.090)
Dy (0.818, 0.818, 0.545)
Dy (0.363, 0.363, 0.910)
Dy (0.182, 0.182, 0.455)
Dy (0.090, 0.090, 0.729)
Tb (0.273, 0.273, 0.181)
Tb (0.727, 0.727, 0.819)
Tb (0.000, 0.000, 0.000)
Sm (0.454, 0.454, 0.637)
Sm (0.546, 0.546, 0.363)

Offset from the most stable computed form ... 0 meV/atom
Crystal system ... trigonal
Space-group type ... R-3m
Energy ... -4.615 eV/atom
Theoretical density ... 8.30 g/cm3

Record 8
TbSmDy6: relaxed, PBE.

Unit cell a=6.050 b=6.050 c=9.367 alpha=87.12 beta=117.30 gamma=111.58
Fractional positions:
Dy (0.156, 0.064, 0.699)
Dy (0.298, 0.628, 0.925)
Dy (0.702, 0.372, 0.075)
Dy (0.365, 0.457, 0.301)
Dy (0.844, 0.936, 0.301)
Dy (0.635, 0.543, 0.699)
Sm (0.000, 0.000, 0.000)
Tb (0.500, 0.000, 0.500)

Offset from the most stable computed form ... 351 meV/atom
Crystal system ... monoclinic
Space-group type ... C2/m
Energy ... -4.249 eV/atom
Theoretical density ... 7.61 g/cm3

Record 9
Tb2Sm4Dy: relaxed, PBE.

Unit cell a=6.181 b=6.628 c=11.637 alpha=90.00 beta=104.58 gamma=90.00
Fractional positions:
Dy (0.850, 0.250, 0.838)
Dy (0.150, 0.750, 0.162)
Tb (0.395, 0.250, 0.005)
Tb (0.712, 0.750, 0.575)
Tb (0.605, 0.750, 0.995)
Tb (0.288, 0.250, 0.425)
Sm (0.151, 0.750, 0.449)
Sm (0.351, 0.492, 0.714)
Sm (0.649, 0.992, 0.286)
Sm (0.967, 0.250, 0.139)
Sm (0.033, 0.750, 0.861)
Sm (0.351, 0.008, 0.714)
Sm (0.649, 0.508, 0.286)
Sm (0.849, 0.250, 0.551)

Offset from the most stable computed form ... 87 meV/atom
Crystal system ... monoclinic
Space-group type ... P2_1/m
Energy ... -4.549 eV/atom
Theoretical density ... 7.79 g/cm3

Record 10
Tb4Sm19Dy6: relaxed, PBE.

Unit cell a=10.898 b=10.898 c=10.898 alpha=109.47 beta=109.47 gamma=109.47
Fractional positions:
Sm (0.219, 0.543, 0.200)
Sm (0.676, 0.658, 0.457)
Sm (0.741, 0.000, 0.741)
Sm (0.200, 0.219, 0.543)
Sm (0.781, 0.981, 0.324)
Sm (0.324, 0.781, 0.981)
Sm (0.000, 0.259, 0.259)
Sm (0.000, 0.741, 0.741)
Sm (0.658, 0.457, 0.676)
Sm (0.800, 0.342, 0.019)
Sm (0.342, 0.019, 0.800)
Sm (0.259, 0.259, 0.000)
Sm (0.741, 0.741, 0.000)
Sm (0.019, 0.800, 0.342)
Sm (0.000, 0.000, 0.000)
Sm (0.981, 0.324, 0.781)
Sm (0.457, 0.676, 0.658)
Sm (0.543, 0.200, 0.219)
Sm (0.259, 0.000, 0.259)
Dy (0.625, 0.500, 0.125)
Dy (0.500, 0.125, 0.625)
Dy (0.500, 0.875, 0.375)
Dy (0.875, 0.375, 0.500)
Dy (0.375, 0.500, 0.875)
Dy (0.125, 0.625, 0.500)
Tb (0.000, 0.000, 0.639)
Tb (0.000, 0.639, 0.000)
Tb (0.361, 0.361, 0.361)
Tb (0.639, 0.000, 0.000)

Crystal system ... cubic
Space-group type ... I23
Energy ... -4.312 eV/atom
Theoretical density ... 7.45 g/cm3

Record 11
Tb7Sm2Dy: relaxed, PBE.

Unit cell a=3.510 b=14.796 c=14.796 alpha=154.54 beta=90.00 gamma=90.00
Fractional positions:
Tb (0.000, 0.186, 0.814)
Tb (0.500, 0.655, 0.852)
Tb (0.000, 0.814, 0.186)
Tb (0.500, 0.345, 0.148)
Tb (0.500, 0.148, 0.345)
Tb (0.500, 0.852, 0.655)
Tb (0.500, 0.500, 0.500)
Sm (0.500, 0.707, 0.293)
Sm (0.500, 0.293, 0.707)
Dy (0.000, 0.000, 0.000)

Offset from the most stable computed form ... 143 meV/atom
Crystal system ... orthorhombic
Space-group type ... Cmmm
Energy ... -4.485 eV/atom
Theoretical density ... 7.92 g/cm3

Record 12
TbSm2Dy6: relaxed, PBE.

Unit cell a=6.579 b=9.584 c=9.584 alpha=96.08 beta=80.65 gamma=80.65
Fractional positions:
Dy (0.272, 0.941, 0.538)
Dy (0.004, 0.277, 0.651)
Dy (0.183, 0.044, 0.222)
Dy (0.496, 0.349, 0.723)
Dy (0.228, 0.462, 0.059)
Dy (0.996, 0.723, 0.349)
Dy (0.683, 0.222, 0.044)
Dy (0.772, 0.538, 0.941)
Dy (0.504, 0.651, 0.277)
Dy (0.817, 0.956, 0.778)
Dy (0.728, 0.059, 0.462)
Dy (0.317, 0.778, 0.956)
Sm (0.129, 0.618, 0.668)
Sm (0.871, 0.382, 0.332)
Sm (0.371, 0.332, 0.382)
Sm (0.629, 0.668, 0.618)
Tb (0.750, 0.881, 0.119)
Tb (0.250, 0.119, 0.881)

Offset from the most stable computed form ... 152 meV/atom
Crystal system ... monoclinic
Space-group type ... C2/c
Energy ... -4.521 eV/atom
Theoretical density ... 8.17 g/cm3

Record 13
Tb19Sm4Dy6: relaxed, PBE.

Unit cell a=10.807 b=10.807 c=10.807 alpha=109.47 beta=109.47 gamma=109.47
Fractional positions:
Sm (0.000, 0.000, 0.640)
Sm (0.360, 0.360, 0.360)
Sm (0.640, 0.000, 0.000)
Sm (0.000, 0.640, 0.000)
Dy (0.500, 0.125, 0.625)
Dy (0.625, 0.500, 0.125)
Dy (0.125, 0.625, 0.500)
Dy (0.875, 0.375, 0.500)
Dy (0.500, 0.875, 0.375)
Dy (0.375, 0.500, 0.875)
Tb (0.260, 0.000, 0.260)
Tb (0.217, 0.542, 0.202)
Tb (0.798, 0.340, 0.016)
Tb (0.340, 0.016, 0.798)
Tb (0.984, 0.325, 0.783)
Tb (0.675, 0.660, 0.458)
Tb (0.325, 0.783, 0.984)
Tb (0.458, 0.675, 0.660)
Tb (0.260, 0.260, 0.000)
Tb (0.000, 0.000, 0.000)
Tb (0.016, 0.798, 0.340)
Tb (0.202, 0.217, 0.542)
Tb (0.783, 0.984, 0.325)
Tb (0.740, 0.740, 0.000)
Tb (0.000, 0.740, 0.740)
Tb (0.740, 0.000, 0.740)
Tb (0.660, 0.458, 0.675)
Tb (0.000, 0.260, 0.260)
Tb (0.542, 0.202, 0.217)

Crystal system ... cubic
Space-group type ... I23
Energy ... -4.253 eV/atom
Theoretical density ... 7.86 g/cm3

Record 14
TbSmDy2: relaxed, PBE.

Unit cell a=3.588 b=3.588 c=11.731 alpha=81.20 beta=81.20 gamma=60.00
Fractional positions:
Sm (0.500, 0.500, 0.499)
Tb (0.667, 0.667, 0.000)
Dy (0.251, 0.251, 0.248)
Dy (0.083, 0.083, 0.752)

Offset from the most stable computed form ... 0 meV/atom
Crystal system ... trigonal
Space-group type ... R3m
Energy ... -4.626 eV/atom
Theoretical density ... 8.18 g/cm3

Record 15
TbSm12Dy6: relaxed, PBE.

Unit cell a=9.202 b=9.202 c=9.202 alpha=106.63 beta=106.63 gamma=106.63
Fractional positions:
Sm (0.174, 0.721, 0.865)
Sm (0.808, 0.419, 0.517)
Sm (0.192, 0.581, 0.483)
Sm (0.279, 0.135, 0.826)
Sm (0.135, 0.826, 0.279)
Sm (0.581, 0.483, 0.192)
Sm (0.517, 0.808, 0.419)
Sm (0.483, 0.192, 0.581)
Sm (0.826, 0.279, 0.135)
Sm (0.865, 0.174, 0.721)
Sm (0.419, 0.517, 0.808)
Sm (0.721, 0.865, 0.174)
Dy (0.078, 0.190, 0.454)
Dy (0.454, 0.078, 0.190)
Dy (0.922, 0.810, 0.546)
Dy (0.190, 0.454, 0.078)
Dy (0.810, 0.546, 0.922)
Dy (0.546, 0.922, 0.810)
Tb (0.000, 0.000, 0.000)

Offset from the most stable computed form ... 98 meV/atom
Crystal system ... trigonal
Space-group type ... R-3
Energy ... -4.438 eV/atom
Theoretical density ... 7.45 g/cm3

Record 16
Tb2Sm3Dy6: relaxed, PBE.

Unit cell a=5.662 b=5.662 c=13.303 alpha=77.71 beta=77.71 gamma=60.00
Fractional positions:
Sm (0.717, 0.717, 0.850)
Sm (0.000, 0.000, 0.000)
Sm (0.283, 0.283, 0.150)
Dy (0.186, 0.186, 0.441)
Dy (0.375, 0.375, 0.875)
Dy (0.909, 0.909, 0.274)
Dy (0.814, 0.814, 0.559)
Dy (0.625, 0.625, 0.125)
Dy (0.091, 0.091, 0.726)
Tb (0.460, 0.460, 0.621)
Tb (0.540, 0.540, 0.379)

Offset from the most stable computed form ... 0 meV/atom
Crystal system ... trigonal
Space-group type ... R-3m
Energy ... -4.517 eV/atom
Theoretical density ... 8.09 g/cm3

Record 17
Tb7SmDy3: relaxed, PBE.

Unit cell a=8.603 b=7.071 c=7.071 alpha=120.00 beta=90.00 gamma=90.00
Fractional positions:
Dy (0.784, 0.500, 0.500)
Dy (0.784, 0.000, 0.500)
Dy (0.784, 0.500, 0.000)
Tb (0.450, 0.832, 0.168)
Tb (0.121, 0.667, 0.333)
Tb (0.115, 0.664, 0.832)
Tb (0.450, 0.832, 0.664)
Tb (0.450, 0.336, 0.168)
Tb (0.115, 0.168, 0.336)
Tb (0.115, 0.168, 0.832)
Sm (0.445, 0.333, 0.667)

Offset from the most stable computed form ... 51 meV/atom
Crystal system ... trigonal
Space-group type ... P3m1
Energy ... -4.441 eV/atom
Theoretical density ... 7.80 g/cm3

Record 18
TbSm14Dy: relaxed, PBE.

Unit cell a=7.245 b=7.245 c=10.211 alpha=90.00 beta=90.00 gamma=90.00
Fractional positions:
Dy (0.375, 0.625, 0.000)
Sm (0.875, 0.625, 0.500)
Sm (0.125, 0.875, 0.249)
Sm (0.125, 0.875, 0.751)
Sm (0.375, 0.125, 0.000)
Sm (0.625, 0.375, 0.249)
Sm (0.625, 0.875, 0.249)
Sm (0.375, 0.625, 0.500)
Sm (0.875, 0.125, 0.500)
Sm (0.375, 0.125, 0.500)
Sm (0.875, 0.625, 0.000)
Sm (0.125, 0.375, 0.249)
Sm (0.625, 0.875, 0.751)
Sm (0.625, 0.375, 0.751)
Sm (0.125, 0.375, 0.751)
Tb (0.875, 0.125, 0.000)

Crystal system ... tetragonal
Space-group type ... P4/mmm
Energy ... -4.691 eV/atom
Theoretical density ... 7.52 g/cm3

We obtain formation energy values of 247, 98, 16, 15, 155, 174, 16, 371, 128, 370, 160, 110, 384, 12, 240, 122, 190, 15 meV per atom for the records listed above, in that order.